DFT (PBE+U) results for a relaxed Li2NpCoO6 crystal.

## Properties
Energy, eV per formula unit: -70.28

abc: 5.679 5.679 4.182
angles: 90.00 90.00 90.00
Fractional positions:
1 Li 0.000 0.500 0.000
2 Li 0.500 0.000 0.000
3 Np 0.000 0.000 0.819
4 Co 0.500 0.500 0.741
5 O 0.000 0.000 0.325
6 O 0.247 0.247 0.849
7 O 0.247 0.753 0.849
8 O 0.500 0.500 0.334
9 O 0.753 0.247 0.849
10 O 0.753 0.753 0.849